Record 1
Here is crystalline TbNd2PaSe4 at its relaxed geometry from the Alexandria database. Energies are from GGA-PBE.

Cell: 7.2117 4.1224 7.2175 Å, 90.00 109.01 90.00°
Space group P2/m (No. 10)
Inequivalent atoms, fractional coordinates:
1 Tb 0.0000 0.0000 0.0000 [1 per cell]
2 Nd 0.5000 0.0000 0.5000 [1 per cell]
3 Nd 0.5000 0.5000 0.0000 [1 per cell]
4 Pa 0.0000 0.5000 0.5000 [1 per cell]
5 Se 0.2383 0.5000 0.2458 [2 per cell]
6 Se 0.2397 0.0000 0.7475 [2 per cell]

Values from the calculation:
Total magnetization: 0.086 μB per atom
Formation energy from raw total energies: -1647 meV per atom
Density of states at the Fermi level: 7.3 states/eV/f.u.



Record 2
Here is crystalline NdPaTe2Se at its relaxed geometry from the Alexandria database. Energies are from GGA-PBE.

Cell: 4.4214 4.4214 14.9622 Å, 90.00 90.00 90.00°
Space group P4/nmm (No. 129, origin choice 2)
Inequivalent atoms, fractional coordinates:
1 Nd 0.2500 0.2500 0.0865 [2 per cell]
2 Pa 0.2500 0.2500 0.6277 [2 per cell]
3 Te 0.2500 0.2500 0.3011 [2 per cell]
4 Te 0.2500 0.2500 0.8699 [2 per cell]
5 Se 0.2500 0.7500 0.5000 [2 per cell]

Values from the calculation:
Total magnetization: 0.195 μB per atom
Formation energy from raw total energies: -1185 meV per atom
Density of states at the Fermi level: 5.8 states/eV/f.u.



Record 3
Here is crystalline Nd2Pa2Te2Se5 at its relaxed geometry from the Alexandria database. Energies are from GGA-PBE.

Cell: 5.5395 5.5395 25.7889 Å, 90.00 90.00 90.00°
Space group I4/mmm (No. 139)
Inequivalent atoms, fractional coordinates:
1 Nd 0.0000 0.0000 0.1605 [4 per cell]
2 Pa 0.0000 0.0000 0.3942 [4 per cell]
3 Te 0.0000 0.0000 0.2800 [4 per cell]
4 Se 0.0000 0.0000 0.5000 [2 per cell]
5 Se 0.0000 0.5000 0.1107 [8 per cell]

Values from the calculation:
Total magnetization: 0.067 μB per atom
Formation energy from raw total energies: -1308 meV per atom
Density of states at the Fermi level: 5.8 states/eV/f.u.